1.
CaInSb2: PBEsol geometry, SCAN.

Properties
The value obtained for the density of states at the Fermi level is 0.364 states/eV/atom.

abc: 3.416 3.416 9.323
angles: 90.00 90.00 90.00
Space group P4/mmm (No. 123)
Unique sites:
Ca 0.000 0.000 0.000 x1
In 0.000 0.000 0.500 x1
Sb 0.500 0.500 0.240 x2

---

2.
CaInSb2: PBEsol geometry, SCAN.

Properties
The value obtained for the density of states at the Fermi level is 0.626 states/eV/atom.

abc: 4.187 4.187 6.269
angles: 90.00 90.00 90.00
Space group P4mm (No. 99)
Unique sites:
Ca 0.000 0.000 0.000 x1
In 0.500 0.500 0.327 x1
Sb 0.000 0.000 0.498 x1
Sb 0.500 0.500 0.844 x1

---

3.
Ca11InSb9: PBEsol geometry, SCAN.

abc: 11.754 12.385 16.628
angles: 90.00 90.00 90.00
Space group Iba2 (No. 45)
Unique sites:
Ca 0.000 0.000 0.016 x4
Ca 0.071 0.278 0.000 x8
Ca 0.086 0.272 0.683 x8
Ca 0.164 0.175 0.341 x8
Ca 0.183 0.447 0.471 x8
Ca 0.185 0.442 0.213 x8
In 0.000 0.000 0.231 x4
Sb 0.000 0.500 0.094 x4
Sb 0.036 0.390 0.839 x8
Sb 0.133 0.119 0.847 x8
Sb 0.155 0.145 0.149 x8
Sb 0.177 0.177 0.525 x8

---

4.
Ca5In2Sb6: PBEsol geometry, SCAN.

Properties
The value obtained for the density of states at the Fermi level is 0.010 states/eV/atom.

abc: 11.940 14.096 4.549
angles: 90.00 90.00 90.00
Space group Pbam (No. 55)
Unique sites:
Ca 0.000 0.000 0.000 x2
Ca 0.089 0.247 0.000 x4
Ca 0.174 0.519 0.000 x4
In 0.163 0.715 0.500 x4
Sb 0.041 0.404 0.500 x4
Sb 0.149 0.092 0.500 x4
Sb 0.165 0.832 0.000 x4

---

5.
CaSc2In: PBEsol geometry, SCAN.

Properties
The value obtained for the density of states at the Fermi level is 1.182 states/eV/atom. The formation energy comes out at 0.286 eV/atom.

abc: 3.3227 3.3227 35.0095
angles: 90.00 90.00 120.00
Space group R-3m (No. 166, hexagonal axes)
Unique sites:
Ca 0.0000 0.0000 0.0000 x3
Sc 0.0000 0.0000 0.4153 x6
In 0.0000 0.0000 0.5000 x3

---

6.
CaScIn2: PBEsol geometry, SCAN.

Properties
The value obtained for the density of states at the Fermi level is 0.447 states/eV/atom. The formation energy comes out at -0.529 eV/atom.

abc: 6.677 8.564 3.325
angles: 90.00 90.00 90.00
Space group Cmmm (No. 65)
Unique sites:
Ca 0.000 0.000 0.000 x2
Sc 0.000 0.500 0.000 x2
In 0.250 0.250 0.500 x4

---

7.
CaScIn: PBEsol geometry, SCAN.

Properties
The value obtained for the density of states at the Fermi level is 0.742 states/eV/atom. The value obtained for the energy relative to the lowest polymorph listed for this composition is 0.000 eV/atom. The formation energy comes out at -0.247 eV/atom.

abc: 3.317 4.507 10.408
angles: 90.00 90.00 90.00
Space group Imm2 (No. 44)
Unique sites:
Ca 0.000 0.000 0.000 x2
Sc 0.000 0.000 0.299 x2
In 0.000 0.000 0.673 x2

---

8.
CaScIn: PBEsol geometry, SCAN.

Properties
The value obtained for the density of states at the Fermi level is 0.748 states/eV/atom. The value obtained for the energy relative to the lowest polymorph listed for this composition is 0.055 eV/atom. The formation energy comes out at -0.192 eV/atom.

abc: 7.141 7.141 7.141
angles: 90.00 90.00 90.00
Space group F-43m (No. 216)
Unique sites:
Ca 0.000 0.000 0.000 x4
Sc 0.000 0.000 0.500 x4
In 0.250 0.250 0.750 x4

---

Number 1: electronic total energy -1.0921 Ha/atom, spin magnetization 0.00 μB per formula unit. Number 2: electronic total energy -1.0928 Ha/atom, spin magnetization 0.00 μB per formula unit. Number 3: electronic total energy -0.8707 Ha/atom, spin magnetization 0.00 μB per formula unit. Number 4: electronic total energy -0.9883 Ha/atom, spin magnetization 0.00 μB per formula unit. Number 5: electronic total energy -0.6466 Ha/atom, spin magnetization 1.72 μB per formula unit. Number 6: electronic total energy -0.8525 Ha/atom, spin magnetization 0.00 μB per formula unit. Number 7: electronic total energy -0.7108 Ha/atom, spin magnetization 0.84 μB per formula unit. Number 8: electronic total energy -0.7088 Ha/atom, spin magnetization 0.00 μB per formula unit.